The following is a DFT calculation (GGA-PBE) of a relaxed TbErIr2C3 crystal.

Cell and atoms, written as POSCAR:
```
TbErIr2C3
1.0
5.703 -1.726 0.000
5.703 1.726 0.000
-1.352 0.000 5.077
Tb Er Ir C
1 1 2 3
Direct
0.000 0.000 0.000
0.751 0.751 0.363
0.244 0.244 0.850
0.509 0.509 0.512
0.105 0.105 0.478
0.374 0.374 0.673
0.650 0.650 0.888
```

## Properties
The calculation puts the energy at -7.930 eV per atom. As for the total magnetization: 0.002 μB per formula unit.

The following is a DFT calculation (GGA-PBE) of a relaxed MgIn2Cu5 crystal.

Cell and atoms, written as POSCAR:
```
MgIn2Cu5
1.0
4.391 0.000 0.000
0.000 4.391 0.000
0.000 0.000 6.214
Mg In Cu
1 2 5
Direct
0.000 0.000 0.000
0.000 0.000 0.500
0.500 0.500 0.000
0.000 0.500 0.262
0.000 0.500 0.738
0.500 0.000 0.262
0.500 0.000 0.738
0.500 0.500 0.500
```

## Properties
The calculation puts the energy at -3.213 eV per atom.

The following is a DFT calculation (GGA-PBE) of a relaxed LiHfPd2 crystal.

Cell and atoms, written as POSCAR:
```
LiHfPd2
1.0
4.533 0.000 0.000
0.000 4.533 0.000
0.000 0.000 3.180
Li Hf Pd
1 1 2
Direct
0.000 0.000 0.000
0.500 0.500 0.000
0.000 0.500 0.500
0.500 0.000 0.500
```

## Properties
The calculation puts the energy at -6.139 eV per atom. As for the total magnetization: 0.010 μB per formula unit. The relative energy among the computed polymorphs is 1.614 kcal/mol of atoms.

The following is a DFT calculation (GGA-PBE) of a relaxed SmHoZr2Bi2 crystal.

Cell and atoms, written as POSCAR:
```
SmHoZr2Bi2
1.0
-2.171 2.171 8.507
2.171 -2.171 8.507
2.171 2.171 -8.507
Sm Ho Zr Bi
1 1 2 2
Direct
0.000 0.000 0.000
0.353 0.353 0.000
0.178 0.678 0.500
0.678 0.178 0.500
0.544 0.544 0.000
0.811 0.811 0.000
```

## Properties
The calculation puts the energy at -6.307 eV per atom. As for the total magnetization: 0.006 μB per formula unit.

The following is a DFT calculation (GGA-PBE) of a relaxed GdBiSe2O crystal.

Cell and atoms, written as POSCAR:
```
GdBiSe2O
1.0
4.030 0.000 0.000
0.000 4.030 0.000
0.000 0.000 14.829
Gd Bi Se O
2 2 4 2
Direct
0.250 0.250 0.075
0.750 0.750 0.925
0.250 0.250 0.640
0.750 0.750 0.360
0.250 0.250 0.403
0.250 0.250 0.820
0.750 0.750 0.180
0.750 0.750 0.597
0.250 0.750 0.000
0.750 0.250 0.000
```

## Properties
The calculation puts the energy at -5.818 eV per atom. As for the total magnetization: 0.006 μB per formula unit.

The following is a DFT calculation (GGA-PBE) of a relaxed HfPaNi crystal.

Cell and atoms, written as POSCAR:
```
HfPaNi
1.0
0.000 3.185 3.185
3.185 0.000 3.185
3.185 3.185 0.000
Hf Pa Ni
1 1 1
Direct
0.000 0.000 0.000
0.500 0.500 0.500
0.750 0.750 0.750
```

## Properties
The calculation puts the energy at -8.163 eV per atom. As for the total magnetization: 0.431 μB per formula unit. As for the formation energy: 0.18 eV per atom. The relative energy among the computed polymorphs is 0.000 kcal/mol of atoms.

The following is a DFT calculation (GGA-PBE) of a relaxed Rb2PdSeS2 crystal.

Cell and atoms, written as POSCAR:
```
Rb2PdSeS2
1.0
6.851 0.000 0.000
2.946 6.635 0.000
3.128 2.108 8.553
Rb Pd Se S
4 2 2 4
Direct
0.098 0.179 0.132
0.349 0.541 0.311
0.651 0.459 0.689
0.902 0.821 0.868
0.400 0.033 0.651
0.600 0.967 0.349
0.178 0.354 0.732
0.822 0.646 0.268
0.257 0.956 0.496
0.371 0.844 0.903
0.629 0.156 0.097
0.743 0.044 0.504
```

## Properties
The calculation puts the energy at -3.673 eV per atom. The relative energy among the computed polymorphs is 0.149 kcal/mol of atoms.

The following is a DFT calculation (GGA-PBE) of a relaxed Pr3AlFeS7 crystal.

Cell and atoms, written as POSCAR:
```
Pr3AlFeS7
1.0
10.071 0.000 0.000
0.000 6.009 0.000
-5.013 0.000 8.786
Pr Al Fe S
6 2 2 14
Direct
0.127 0.000 0.359
0.267 0.500 0.123
0.360 0.500 0.732
0.640 0.000 0.268
0.733 0.000 0.877
0.873 0.500 0.641
0.167 0.920 0.833
0.833 0.420 0.167
0.500 0.281 0.500
0.500 0.781 0.500
0.017 0.773 0.919
0.081 0.773 0.599
0.166 0.289 0.832
0.268 0.545 0.409
0.355 0.045 0.264
0.402 0.773 0.981
0.411 0.044 0.643
0.589 0.544 0.357
0.598 0.273 0.019
0.645 0.545 0.736
0.732 0.045 0.591
0.834 0.789 0.168
0.919 0.273 0.401
0.983 0.273 0.081
```

## Properties
The calculation puts the energy at -6.173 eV per atom. As for the total magnetization: 4.007 μB per formula unit.

The following is a DFT calculation (GGA-PBE) of a relaxed NpZnIn crystal.

Cell and atoms, written as POSCAR:
```
NpZnIn
1.0
0.000 3.287 3.287
3.287 0.000 3.287
3.287 3.287 0.000
Np Zn In
1 1 1
Direct
0.000 0.000 0.000
0.750 0.750 0.750
0.500 0.500 0.500
```

## Properties
The calculation puts the energy at -5.313 eV per atom. As for the total magnetization: 3.995 μB per formula unit.

The following is a DFT calculation (GGA-PBE) of a relaxed CsCuGeTe2S crystal.

Cell and atoms, written as POSCAR:
```
CsCuGeTe2S
1.0
1.911 -8.402 0.000
1.911 8.402 0.000
0.000 0.000 11.092
Cs Cu Ge Te S
2 2 2 4 2
Direct
0.219 0.781 0.750
0.781 0.219 0.250
0.033 0.967 0.250
0.967 0.033 0.750
0.500 0.500 0.000
0.500 0.500 0.500
0.120 0.880 0.052
0.120 0.880 0.448
0.880 0.120 0.552
0.880 0.120 0.948
0.459 0.541 0.250
0.541 0.459 0.750
```

## Properties
The calculation puts the energy at -3.570 eV per atom.

The following is a DFT calculation (GGA-PBE) of a relaxed HoAgB4 crystal.

Cell and atoms, written as POSCAR:
```
HoAgB4
1.0
3.217 0.000 0.000
-1.608 2.786 0.000
0.000 0.000 7.286
Ho Ag B
1 1 4
Direct
0.000 0.000 0.000
0.000 0.000 0.500
0.333 0.667 0.252
0.333 0.667 0.748
0.667 0.333 0.252
0.667 0.333 0.748
```

## Properties
The calculation puts the energy at -5.700 eV per atom. As for the total magnetization: 0.003 μB per formula unit. The relative energy among the computed polymorphs is 1.541 kcal/mol of atoms.

The following is a DFT calculation (GGA-PBE) of a relaxed NdPd2 crystal.

Cell and atoms, written as POSCAR:
```
NdPd2
1.0
-1.794 1.794 4.678
1.794 -1.794 4.678
1.794 1.794 -4.678
Nd Pd
1 2
Direct
0.000 0.000 0.000
0.328 0.328 0.000
0.672 0.672 0.000
```

## Properties
The calculation puts the energy at -5.686 eV per atom. As for the total magnetization: 0.002 μB per formula unit. As for the formation energy: -0.65 eV per atom.